# Th4SnOs2

Crystalline Th4SnOs2 at its relaxed geometry (GGA-PBE, the Alexandria database).

Unit cell a=4.4073 b=4.4073 c=36.0710 alpha=90.00 beta=90.00 gamma=120.00
Space group R-3m (No. 166, hexagonal axes)
Symmetry-distinct sites (fractional):
Th  0.0000  0.0000  0.1123 [6 per cell]
Th  0.0000  0.0000  0.2977 [6 per cell]
Sn  0.0000  0.0000  0.5000 [3 per cell]
Os  0.0000  0.0000  0.4042 [6 per cell]

## Properties
formation energy	-0.31	eV/atom
energy relative to the lowest polymorph listed for this composition	0.52	eV per formula unit

# Th5Sn2Os2

Crystalline Th5Sn2Os2 at its relaxed geometry (GGA-PBE, the Alexandria database).

Unit cell a=17.0237 b=9.3503 c=6.4407 alpha=90.00 beta=90.00 gamma=90.00
Space group Ima2 (No. 46)
Symmetry-distinct sites (fractional):
Th  0.0605  0.2076  0.0000 [8 per cell]
Th  0.1489  0.6114  0.3117 [8 per cell]
Th  0.2500  0.0898  0.3119 [4 per cell]
Sn  0.0820  0.5666  0.8240 [8 per cell]
Os  0.0000  0.0000  0.7127 [4 per cell]
Os  0.2500  0.1201  0.8396 [4 per cell]

## Properties
formation energy	-0.29	eV/atom

# Th5Sn4Os

Crystalline Th5Sn4Os at its relaxed geometry (GGA-PBE, the Alexandria database).

Unit cell a=9.9188 b=9.9188 c=6.3647 alpha=90.00 beta=90.00 gamma=90.00
Space group I4/m (No. 87)
Symmetry-distinct sites (fractional):
Th  0.0000  0.0000  0.0000 [2 per cell]
Th  0.0972  0.7361  0.5000 [8 per cell]
Sn  0.0841  0.6874  0.0000 [8 per cell]
Os  0.0000  0.0000  0.5000 [2 per cell]

## Properties
formation energy	-0.38	eV/atom

# Th4SnOs

Crystalline Th4SnOs at its relaxed geometry (GGA-PBE, the Alexandria database).

Unit cell a=8.8393 b=13.6023 c=6.1338 alpha=90.00 beta=111.01 gamma=90.00
Space group C2/c (No. 15)
Symmetry-distinct sites (fractional):
Th  0.1155  0.1785  0.0628 [8 per cell]
Th  0.2107  0.4168  0.3552 [8 per cell]
Sn  0.0000  0.3811  0.7500 [4 per cell]
Os  0.0000  0.0019  0.2500 [4 per cell]

## Properties
formation energy	-0.31	eV/atom
energy relative to the lowest polymorph listed for this composition	0.27	eV per formula unit

# Th5Sn2Os

Crystalline Th5Sn2Os at its relaxed geometry (GGA-PBE, the Alexandria database).

Unit cell a=8.2589 b=12.5569 c=4.6233 alpha=90.00 beta=90.00 gamma=90.00
Space group Pbam (No. 55)
Symmetry-distinct sites (fractional):
Th  0.0000  0.0000  0.0000 [2 per cell]
Th  0.1376  0.2970  0.0000 [4 per cell]
Th  0.1932  0.5643  0.5000 [4 per cell]
Sn  0.0812  0.8255  0.5000 [4 per cell]
Os  0.0000  0.5000  0.0000 [2 per cell]

## Properties
formation energy	-0.46	eV/atom
energy relative to the lowest polymorph listed for this composition	0.00	eV per formula unit

# Th2ZnSnOs

Crystalline Th2ZnSnOs at its relaxed geometry (GGA-PBE, the Alexandria database).

Unit cell a=7.7367 b=4.2919 c=7.8880 alpha=90.00 beta=107.55 gamma=90.00
Space group P2_1/m (No. 11)
Symmetry-distinct sites (fractional):
Th  0.1067  0.2500  0.3411 [2 per cell]
Th  0.2841  0.2500  0.9716 [2 per cell]
Zn  0.4432  0.7500  0.3401 [2 per cell]
Sn  0.3308  0.7500  0.6635 [2 per cell]
Os  0.1247  0.7500  0.1071 [2 per cell]

## Properties
formation energy	-0.39	eV/atom

Number 1: volume 28.89 Å³ per atom. Number 2: volume 28.48 Å³ per atom. Number 3: volume 31.31 Å³ per atom. Number 4: volume 28.69 Å³ per atom. Number 5: volume 29.97 Å³ per atom. Number 6: volume 24.97 Å³ per atom.